Compound: TbTm5Hg2
Source: Alexandria
Functional: PBE
Structure: optimized geometry

Calculated values
Formation enthalpy at 0 K (kJ/mol of formula units): -126

Unit cell a=8.125 b=8.125 c=8.125 alpha=153.80 beta=103.87 gamma=82.13
Element x y z (fractional)
Tb  0.000  0.000  0.000
Tm  0.138  0.364  0.774
Tm  0.410  0.636  0.774
Tm  0.500  0.000  0.500
Tm  0.590  0.364  0.226
Tm  0.862  0.636  0.226
Hg  0.239  0.739  0.500
Hg  0.761  0.261  0.500


Compound: TbTm2Hg6
Source: Alexandria
Functional: PBE
Structure: optimized geometry

Calculated values
Formation enthalpy at 0 K (kJ/mol of formula units): -332

Unit cell a=9.217 b=9.217 c=5.408 alpha=97.74 beta=97.74 gamma=78.18
Element x y z (fractional)
Tb  0.126  0.874  0.750
Tb  0.874  0.126  0.250
Tm  0.209  0.458  0.915
Tm  0.458  0.209  0.415
Tm  0.542  0.791  0.585
Tm  0.791  0.542  0.085
Hg  0.013  0.761  0.195
Hg  0.098  0.350  0.361
Hg  0.239  0.987  0.305
Hg  0.321  0.569  0.470
Hg  0.350  0.098  0.861
Hg  0.431  0.679  0.030
Hg  0.569  0.321  0.970
Hg  0.650  0.902  0.139
Hg  0.679  0.431  0.530
Hg  0.761  0.013  0.695
Hg  0.902  0.650  0.639
Hg  0.987  0.239  0.805


Compound: Tb4TmHg5
Source: Alexandria
Functional: PBE
Structure: optimized geometry

Calculated values
Formation enthalpy at 0 K (kJ/mol of formula units): -463

Unit cell a=3.718 b=3.718 c=18.702 alpha=90.00 beta=90.00 gamma=90.00
Element x y z (fractional)
Tb  0.000  0.000  0.101
Tb  0.000  0.000  0.302
Tb  0.000  0.000  0.698
Tb  0.000  0.000  0.899
Tm  0.000  0.000  0.500
Hg  0.500  0.500  0.000
Hg  0.500  0.500  0.201
Hg  0.500  0.500  0.404
Hg  0.500  0.500  0.596
Hg  0.500  0.500  0.799


Number 1: V 226 Å³/cell. Number 2: V 443 Å³/cell. Number 3: V 259 Å³/cell.